VASP calculation (GGA-PBE) on RbNb2HgTe after structural relaxation.

Cell and atoms, written as POSCAR:
```
RbNb2HgTe
1.0
-2.2239 -3.6144 -3.3624
-3.3526 -2.1156 4.4915
-3.8972 3.5490 -1.2373
Nb Te Hg Rb
2 1 1 1
Direct
0.0000 0.0000 0.5000
0.5000 0.0000 0.0000
0.0000 0.5000 0.0000
0.0000 0.0000 0.0000
0.5000 0.5000 0.5000
```

Output
Formation energy (no corrections), eV per atom: 1.386


VASP calculation (GGA-PBE) on RbNb2HgW after structural relaxation.

Cell and atoms, written as POSCAR:
```
RbNb2HgW
1.0
4.7721 0.0000 0.0000
0.0000 5.2256 0.0000
0.0000 0.0000 4.7721
Rb Nb Hg W
1 2 1 1
Direct
0.0000 0.0000 0.0000
0.0000 0.0000 0.5000
0.5000 0.0000 0.0000
0.0000 0.5000 0.0000
0.5000 0.5000 0.5000
```


VASP calculation (GGA-PBE) on NbRe3Hg after structural relaxation.

Cell and atoms, written as POSCAR:
```
NbRe3Hg
1.0
4.8013 0.0000 0.0000
0.0000 4.8013 0.0000
0.0000 0.0000 4.8013
Re Nb Hg
3 1 1
Direct
0.0000 0.5000 0.0000
0.0000 0.0000 0.5000
0.5000 0.0000 0.0000
0.5000 0.5000 0.5000
0.0000 0.0000 0.0000
```


VASP calculation (GGA-PBE) on Nb2Re2Hg after structural relaxation.

Cell and atoms, written as POSCAR:
```
Nb2Re2Hg
1.0
4.3457 0.0000 0.0000
0.0000 4.3457 0.0000
2.1728 2.1728 5.3871
Re Nb Hg
2 2 1
Direct
0.3839 0.3839 0.2322
0.6161 0.6161 0.7678
0.7500 0.2500 0.5000
0.2500 0.7500 0.5000
0.0000 0.0000 0.0000
```


VASP calculation (GGA-PBE) on Nb2Re2Hg after structural relaxation.

Cell and atoms, written as POSCAR:
```
Nb2Re2Hg
1.0
-3.0160 3.9260 -5.8351
-6.4986 -3.9832 0.6790
-1.0900 2.1172 1.9879
Re Nb Hg
4 4 2
Direct
0.3595 0.8595 0.0000
0.8595 0.6405 0.0000
0.6405 0.1405 0.0000
0.1405 0.3595 0.0000
0.1541 0.6541 0.5000
0.6541 0.8459 0.5000
0.8459 0.3459 0.5000
0.3459 0.1541 0.5000
0.0000 0.0000 0.0000
0.5000 0.5000 0.0000
```


VASP calculation (GGA-PBE) on NbRe3Hg after structural relaxation.

Cell and atoms, written as POSCAR:
```
NbRe3Hg
1.0
4.7947 0.0000 0.0000
0.0000 4.7947 0.0000
0.0000 0.0000 4.7947
Re Nb Hg
3 1 1
Direct
0.0000 0.5000 0.0000
0.0000 0.0000 0.5000
0.5000 0.0000 0.0000
0.0000 0.0000 0.0000
0.5000 0.5000 0.5000
```


VASP calculation (GGA-PBE) on NbRe2Hg after structural relaxation.

Cell and atoms, written as POSCAR:
```
NbRe2Hg
1.0
7.4368 0.0000 0.0000
0.0000 7.4368 0.0000
3.7184 3.7184 2.7341
Re Nb Hg
4 2 2
Direct
0.5986 0.1250 0.2500
0.1514 0.6250 0.2500
0.3750 0.4014 0.7500
0.8750 0.8486 0.7500
0.5000 0.5000 0.0000
0.2500 0.7500 0.5000
0.0000 0.0000 0.0000
0.7500 0.2500 0.5000
```


VASP calculation (GGA-PBE) on NbReHg2Rh after structural relaxation.

Cell and atoms, written as POSCAR:
```
NbReHg2Rh
1.0
-2.6106 -3.2147 2.8311
2.2911 -3.5992 -1.9741
3.5175 0.2835 3.5654
Re Nb Rh Hg
1 1 1 2
Direct
0.0000 0.5000 0.0000
0.5000 0.5000 0.5000
0.0000 0.0000 0.0000
0.0000 0.0000 0.5000
0.5000 0.0000 0.0000
```


VASP calculation (GGA-PBE) on NbReHg2Se after structural relaxation.

Cell and atoms, written as POSCAR:
```
NbReHg2Se
1.0
5.3323 0.0000 0.0000
0.0000 4.6008 0.0000
0.0000 0.0000 5.3323
Re Nb Hg Se
1 1 2 1
Direct
0.0000 0.0000 0.0000
0.5000 0.5000 0.5000
0.0000 0.0000 0.5000
0.5000 0.0000 0.0000
0.0000 0.5000 0.0000
```

Output
Formation energy (no corrections), eV per atom: 1.220


VASP calculation (GGA-PBE) on NbReHgTe2 after structural relaxation.

Cell and atoms, written as POSCAR:
```
NbReHgTe2
1.0
5.4026 0.0000 0.0000
0.0000 5.1134 0.0000
0.0000 0.0000 5.4026
Re Nb Te Hg
1 1 2 1
Direct
0.0000 0.5000 0.0000
0.5000 0.5000 0.5000
0.0000 0.0000 0.5000
0.5000 0.0000 0.0000
0.0000 0.0000 0.0000
```

Output
Formation energy (no corrections), eV per atom: 2.144


VASP calculation (GGA-PBE) on Nb2HgRh2 after structural relaxation.

Cell and atoms, written as POSCAR:
```
Nb2HgRh2
1.0
-2.9750 2.2453 2.3672
-2.3385 -3.7013 0.5719
-0.0489 -1.7233 5.6911
Nb Rh Hg
2 2 1
Direct
0.7500 0.2500 0.5000
0.2500 0.7500 0.5000
0.3763 0.3763 0.2474
0.6237 0.6237 0.7526
0.0000 0.0000 0.0000
```


VASP calculation (GGA-PBE) on NbHg3Rh after structural relaxation.

Cell and atoms, written as POSCAR:
```
NbHg3Rh
1.0
-2.6161 0.1847 4.3144
-2.7733 -3.9385 -1.5130
3.3101 -3.1538 2.1422
Nb Rh Hg
1 1 3
Direct
0.5000 0.5000 0.5000
0.0000 0.0000 0.0000
0.0000 0.5000 0.0000
0.0000 0.0000 0.5000
0.5000 0.0000 0.0000
```


VASP calculation (GGA-PBE) on Nb3HgRh after structural relaxation.

Cell and atoms, written as POSCAR:
```
Nb3HgRh
1.0
4.8327 0.0000 0.0000
0.0000 4.8327 0.0000
0.0000 0.0000 4.8327
Nb Rh Hg
3 1 1
Direct
0.0000 0.5000 0.0000
0.0000 0.0000 0.5000
0.5000 0.0000 0.0000
0.0000 0.0000 0.0000
0.5000 0.5000 0.5000
```


VASP calculation (GGA-PBE) on NbHgRh3 after structural relaxation.

Cell and atoms, written as POSCAR:
```
NbHgRh3
1.0
-2.6190 2.1972 3.3820
-1.9394 -4.2217 1.2409
3.5361 -0.6882 3.1854
Nb Rh Hg
1 3 1
Direct
0.5000 0.5000 0.5000
0.0000 0.5000 0.0000
0.0000 0.0000 0.5000
0.5000 0.0000 0.0000
0.0000 0.0000 0.0000
```


VASP calculation (GGA-PBE) on Nb2HgRh2 after structural relaxation.

Cell and atoms, written as POSCAR:
```
Nb2HgRh2
1.0
-4.5727 4.5654 4.1947
0.2895 -5.0493 5.8111
2.3595 1.3742 1.0765
Nb Rh Hg
4 4 2
Direct
0.1655 0.6655 0.5000
0.6655 0.8345 0.5000
0.8345 0.3345 0.5000
0.3345 0.1655 0.5000
0.3718 0.8718 0.0000
0.8718 0.6282 0.0000
0.6282 0.1282 0.0000
0.1282 0.3718 0.0000
0.0000 0.0000 0.0000
0.5000 0.5000 0.0000
```


VASP calculation (GGA-PBE) on Nb3HgRh after structural relaxation.

Cell and atoms, written as POSCAR:
```
Nb3HgRh
1.0
4.9962 0.0000 0.0000
0.0000 4.9962 0.0000
0.0000 0.0000 4.9962
Nb Rh Hg
3 1 1
Direct
0.0000 0.5000 0.0000
0.0000 0.0000 0.5000
0.5000 0.0000 0.0000
0.5000 0.5000 0.5000
0.0000 0.0000 0.0000
```


VASP calculation (GGA-PBE) on NbHgRh3 after structural relaxation.

Cell and atoms, written as POSCAR:
```
NbHgRh3
1.0
-2.1910 -1.9493 3.7299
-3.4807 -1.5244 -2.8413
2.3657 -4.0483 -0.7261
Nb Rh Hg
1 3 1
Direct
0.0000 0.0000 0.0000
0.0000 0.5000 0.0000
0.0000 0.0000 0.5000
0.5000 0.0000 0.0000
0.5000 0.5000 0.5000
```


VASP calculation (GGA-PBE) on NbHgRuRh after structural relaxation.

Cell and atoms, written as POSCAR:
```
NbHgRuRh
1.0
-1.0213 -3.0856 -3.1633
3.3161 -2.1883 -2.1876
0.7291 -4.4030 0.8080
Ru Nb Rh Hg
1 1 1 1
Direct
0.5000 0.5000 0.5000
0.7500 0.7500 0.7500
0.0000 0.0000 0.0000
0.2500 0.2500 0.2500
```


VASP calculation (GGA-PBE) on Nb2Hg2RhS6 after structural relaxation.

Cell and atoms, written as POSCAR:
```
Nb2Hg2RhS6
1.0
-0.2731 -4.3243 -4.1106
-0.1880 -1.0631 5.8742
-8.9107 3.8208 -1.1721
Nb Hg Rh S
2 2 1 6
Direct
0.3557 0.6443 0.5000
0.6443 0.3557 0.5000
0.7508 0.2492 0.0000
0.2492 0.7508 0.0000
0.0000 0.0000 0.5000
0.7823 0.7823 0.6773
0.0725 0.4096 0.6542
0.2177 0.2177 0.3227
0.4096 0.0725 0.6542
0.9275 0.5904 0.3458
0.5904 0.9275 0.3458
```

Output
Formation energy (no corrections), eV per atom: -0.635


VASP calculation (GGA-PBE) on ScNbHgRh2 after structural relaxation.

Cell and atoms, written as POSCAR:
```
ScNbHgRh2
1.0
4.6910 0.0000 0.0000
0.0000 5.3003 0.0000
0.0000 0.0000 4.6910
Sc Nb Rh Hg
1 1 2 1
Direct
0.5000 0.5000 0.5000
0.0000 0.0000 0.0000
0.0000 0.0000 0.5000
0.5000 0.0000 0.0000
0.0000 0.5000 0.0000
```


VASP calculation (GGA-PBE) on Nb2Hg2Te6Rh after structural relaxation.

Cell and atoms, written as POSCAR:
```
Nb2Hg2Te6Rh
1.0
-0.9609 -6.0388 1.9854
4.4158 3.8423 2.6588
-8.2675 4.1730 4.7786
Nb Hg Te Rh
2 2 6 1
Direct
0.3633 0.6367 0.5000
0.6367 0.3633 0.5000
0.7876 0.2124 0.0000
0.2124 0.7876 0.0000
0.7722 0.7722 0.6957
0.0471 0.3890 0.6679
0.2278 0.2278 0.3043
0.3890 0.0471 0.6679
0.9529 0.6110 0.3321
0.6110 0.9529 0.3321
0.0000 0.0000 0.5000
```

Output
Formation energy (no corrections), eV per atom: -0.295


VASP calculation (GGA-PBE) on TiNbHg2Rh after structural relaxation.

Cell and atoms, written as POSCAR:
```
TiNbHg2Rh
1.0
-4.3338 -1.1833 -2.4841
-1.8374 -1.3302 3.8393
-1.7598 4.7548 0.8052
Nb Rh Hg Ti
1 1 2 1
Direct
0.5000 0.5000 0.5000
0.0000 0.0000 0.0000
0.0000 0.0000 0.5000
0.5000 0.0000 0.0000
0.0000 0.5000 0.0000
```


VASP calculation (GGA-PBE) on NbHgRu after structural relaxation.

Cell and atoms, written as POSCAR:
```
NbHgRu
1.0
3.5773 0.0000 0.0000
0.0000 3.1853 0.0000
0.0000 0.0000 9.3149
Nb Hg Ru
2 2 2
Direct
0.0000 0.0000 0.3862
0.5000 0.5000 0.8862
0.0000 0.0000 0.0733
0.5000 0.5000 0.5733
0.0000 0.0000 0.7560
0.5000 0.5000 0.2560
```


VASP calculation (GGA-PBE) on NbHgRu after structural relaxation.

Cell and atoms, written as POSCAR:
```
NbHgRu
1.0
-0.6035 1.0573 2.8198
-2.9983 -0.4802 -0.4616
1.0451 -10.5388 4.1750
Nb Hg Ru
2 2 2
Direct
0.0000 0.0000 0.6147
0.5000 0.5000 0.1147
0.0000 0.0000 0.9228
0.5000 0.5000 0.4228
0.0000 0.0000 0.2468
0.5000 0.5000 0.7468
```


VASP calculation (GGA-PBE) on NbHgRu after structural relaxation.

Cell and atoms, written as POSCAR:
```
NbHgRu
1.0
-4.3863 -0.2109 -1.0498
1.5001 -1.8829 3.8197
-0.9777 5.3342 3.0134
Nb Hg Ru
2 2 2
Direct
0.6667 0.3333 0.0987
0.3333 0.6667 0.7866
0.3333 0.6667 0.2983
0.0000 0.0000 0.4865
0.0000 0.0000 0.9652
0.6667 0.3333 0.7078
```


VASP calculation (GGA-PBE) on NbHgRu2 after structural relaxation.

Cell and atoms, written as POSCAR:
```
NbHgRu2
1.0
5.8589 0.0000 0.0000
0.0000 5.8589 0.0000
2.9294 2.9294 5.7804
Ru Nb Hg
4 2 2
Direct
0.5935 0.1250 0.2500
0.1565 0.6250 0.2500
0.3750 0.4065 0.7500
0.8750 0.8435 0.7500
0.5000 0.5000 0.0000
0.2500 0.7500 0.5000
0.0000 0.0000 0.0000
0.7500 0.2500 0.5000
```


VASP calculation (GGA-PBE) on Nb2HgRu2 after structural relaxation.

Cell and atoms, written as POSCAR:
```
Nb2HgRu2
1.0
-3.6007 -6.5844 -1.8840
4.8150 -0.9202 -5.9864
1.8769 -1.5255 1.7442
Ru Nb Hg
4 4 2
Direct
0.1424 0.6424 0.5000
0.6424 0.8576 0.5000
0.8576 0.3576 0.5000
0.3576 0.1424 0.5000
0.3529 0.8529 0.0000
0.8529 0.6471 0.0000
0.6471 0.1471 0.0000
0.1471 0.3529 0.0000
0.0000 0.0000 0.0000
0.5000 0.5000 0.0000
```


Number 1: total energy -3.52 eV per atom. Number 2: total energy -3.64 eV per atom. Number 3: total energy -6.42 eV per atom. Number 4: total energy -8.51 eV per atom. Number 5: total energy -8.73 eV per atom. Number 6: total energy -7.18 eV per atom. Number 7: total energy -7.67 eV per atom. Number 8: total energy -4.53 eV per atom. Number 9: total energy -4.10 eV per atom. Number 10: total energy -3.68 eV per atom. Number 11: total energy -7.05 eV per atom. Number 12: total energy -2.53 eV per atom. Number 13: total energy -6.65 eV per atom. Number 14: total energy -4.70 eV per atom. Number 15: total energy -7.27 eV per atom. Number 16: total energy -5.40 eV per atom. Number 17: total energy -5.64 eV per atom. Number 18: total energy -6.80 eV per atom. Number 19: total energy -5.44 eV per atom. Number 20: total energy -5.70 eV per atom. Number 21: total energy -4.56 eV per atom. Number 22: total energy -4.35 eV per atom. Number 23: total energy -6.45 eV per atom. Number 24: total energy -6.45 eV per atom. Number 25: total energy -6.37 eV per atom. Number 26: total energy -5.92 eV per atom. Number 27: total energy -7.69 eV per atom.